{"formula": "PmHoRuPt", "functional": "PBE", "state": "optimized geometry", "cell": [[-0.694, -3.338, -0.712], [1.267, -0.927, 3.110], [-6.342, 0.722, 2.799]], "species": ["Pm", "Pt", "Ru", "Ho"], "fractional_positions": [[0.500, 0.500, 0.114], [0.000, 0.000, 0.843], [0.000, 0.000, 0.368], [0.500, 0.500, 0.603]], "dos_at_fermi_per_ev_cell": 2.40, "total_energy_ev_per_atom": -6.9089, "de_polymorph_kj_per_mol_fu": 0.0, "m_tot_mub_per_fu": 0.00}

---

{"formula": "Pm2HoSb3Pt4", "functional": "PBE", "state": "optimized geometry", "cell": [[-0.745, -4.426, 0.374], [3.189, -0.269, 3.169], [-7.875, 2.009, 8.095]], "species": ["Pt", "Pt", "Pt", "Pt", "Pm", "Pm", "Sb", "Sb", "Sb", "Ho"], "fractional_positions": [[0.000, 0.000, 0.000], [0.500, 0.500, 0.000], [0.500, 0.000, 0.643], [0.000, 0.500, 0.357], [0.000, 0.500, 0.788], [0.500, 0.000, 0.212], [0.000, 0.500, 0.132], [0.000, 0.000, 0.500], [0.500, 0.000, 0.868], [0.500, 0.500, 0.500]], "dos_at_fermi_per_ev_cell": 2.53, "raw_formation_energy_mev_per_atom": -940, "total_energy_ev_per_atom": -6.0009, "m_tot_mub_per_fu": 0.00}

---

{"formula": "Pm2HoSi3Pt12", "functional": "PBE", "state": "optimized geometry", "cell": [[-0.492, 7.310, -2.335], [-5.249, 4.180, 3.755], [2.953, 5.108, 4.931]], "species": ["Pm", "Pm", "Pt", "Pt", "Pt", "Pt", "Pt", "Pt", "Pt", "Pt", "Pt", "Pt", "Pt", "Pt", "Si", "Si", "Si", "Ho"], "fractional_positions": [[0.599, 0.599, 0.599], [0.401, 0.401, 0.401], [0.854, 0.400, 0.854], [0.400, 0.854, 0.854], [0.146, 0.146, 0.600], [0.350, 0.899, 0.350], [0.650, 0.650, 0.101], [0.350, 0.350, 0.899], [0.650, 0.101, 0.650], [0.600, 0.146, 0.146], [0.101, 0.650, 0.650], [0.146, 0.600, 0.146], [0.854, 0.854, 0.400], [0.899, 0.350, 0.350], [0.000, 0.000, 0.500], [0.000, 0.500, 0.000], [0.500, 0.000, 0.000], [0.000, 0.000, 0.000]], "dos_at_fermi_per_ev_cell": 9.86, "raw_formation_energy_mev_per_atom": -559, "total_energy_ev_per_atom": -6.2727, "m_tot_mub_per_fu": 0.00}

---

{"formula": "PmHo2Si2Pt7", "functional": "PBE", "state": "optimized geometry", "cell": [[4.058, 0.019, -0.073], [0.024, 4.058, -0.073], [1.764, 1.762, 13.612]], "species": ["Pt", "Pt", "Pt", "Pt", "Pt", "Pt", "Pt", "Si", "Si", "Ho", "Ho", "Pm"], "fractional_positions": [[0.364, 0.364, 0.430], [0.636, 0.636, 0.570], [0.936, 0.437, 0.167], [0.500, 0.500, 0.000], [0.563, 0.064, 0.833], [0.064, 0.563, 0.833], [0.437, 0.936, 0.167], [0.401, 0.401, 0.261], [0.599, 0.599, 0.739], [0.119, 0.119, 0.641], [0.881, 0.881, 0.359], [0.000, 0.000, 0.000]], "dos_at_fermi_per_ev_cell": 4.95, "raw_formation_energy_mev_per_atom": -1076, "total_energy_ev_per_atom": -6.6623, "m_tot_mub_per_fu": 0.00}

---

{"formula": "PmHoSi2Pt4", "functional": "PBE", "state": "optimized geometry", "cell": [[4.188, 0.000, 0.000], [0.000, 4.188, 0.000], [0.000, 0.000, 8.859]], "species": ["Pt", "Pt", "Pt", "Pt", "Si", "Si", "Pm", "Ho"], "fractional_positions": [[0.500, 0.000, 0.771], [0.000, 0.500, 0.771], [0.000, 0.500, 0.229], [0.500, 0.000, 0.229], [0.500, 0.500, 0.634], [0.500, 0.500, 0.366], [0.000, 0.000, 0.500], [0.000, 0.000, 0.000]], "dos_at_fermi_per_ev_cell": 4.15, "raw_formation_energy_mev_per_atom": -981, "total_energy_ev_per_atom": -6.5233, "m_tot_mub_per_fu": 0.00}

---

{"formula": "Pm2HoSi2Pt7", "functional": "PBE", "state": "optimized geometry", "cell": [[4.074, 0.014, -0.094], [0.019, 4.074, -0.094], [1.666, 1.664, 13.643]], "species": ["Pt", "Pt", "Pt", "Pt", "Pt", "Pt", "Pt", "Si", "Si", "Pm", "Pm", "Ho"], "fractional_positions": [[0.553, 0.054, 0.842], [0.619, 0.619, 0.576], [0.381, 0.381, 0.424], [0.946, 0.447, 0.158], [0.447, 0.946, 0.158], [0.500, 0.500, 0.000], [0.054, 0.553, 0.842], [0.585, 0.585, 0.748], [0.415, 0.415, 0.252], [0.894, 0.894, 0.355], [0.106, 0.106, 0.645], [0.000, 0.000, 0.000]], "dos_at_fermi_per_ev_cell": 5.30, "raw_formation_energy_mev_per_atom": -1126, "total_energy_ev_per_atom": -6.7265, "m_tot_mub_per_fu": 0.00}

---

{"formula": "PmHoSiPt", "functional": "PBE", "state": "optimized geometry", "cell": [[4.049, 0.000, 0.000], [0.000, 4.174, 0.000], [-2.025, 0.000, 5.456]], "species": ["Si", "Pt", "Pm", "Ho"], "fractional_positions": [[0.572, 0.500, 0.143], [0.422, 0.000, 0.843], [0.144, 0.000, 0.287], [0.863, 0.500, 0.726]], "dos_at_fermi_per_ev_cell": 3.18, "raw_formation_energy_mev_per_atom": -1001, "total_energy_ev_per_atom": -6.1987, "de_polymorph_kj_per_mol_fu": 0.0, "m_tot_mub_per_fu": 0.00}

---

{"formula": "PmHoSiPt", "functional": "PBE", "state": "optimized geometry", "cell": [[5.037, 0.000, 0.000], [2.518, 4.362, 0.000], [2.518, 1.454, 4.113]], "species": ["Si", "Pm", "Ho", "Pt"], "fractional_positions": [[0.000, 0.000, 0.000], [0.250, 0.250, 0.250], [0.750, 0.750, 0.750], [0.500, 0.500, 0.500]], "dos_at_fermi_per_ev_cell": 1.19, "raw_formation_energy_mev_per_atom": -801, "total_energy_ev_per_atom": -5.9986, "de_polymorph_kj_per_mol_fu": 77.2, "m_tot_mub_per_fu": 0.00}

---

{"formula": "PmHoSi2Pt2", "functional": "PBE", "state": "optimized geometry", "cell": [[-3.149, 1.951, -1.896], [-0.655, -2.014, 3.582], [1.739, 6.866, 4.179]], "species": ["Si", "Si", "Pt", "Pt", "Ho", "Pm"], "fractional_positions": [[0.667, 0.333, 0.255], [0.333, 0.667, 0.745], [0.333, 0.667, 0.262], [0.667, 0.333, 0.738], [0.000, 0.000, 0.500], [0.000, 0.000, 0.000]], "dos_at_fermi_per_ev_cell": 4.56, "raw_formation_energy_mev_per_atom": -1141, "total_energy_ev_per_atom": -6.5166, "m_tot_mub_per_fu": 0.00}

---

{"formula": "PmHoSi2Pt5", "functional": "PBE", "state": "optimized geometry", "cell": [[4.225, 0.000, 0.000], [0.000, 4.225, 0.000], [0.000, 0.000, 8.972]], "species": ["Pt", "Pt", "Pt", "Pt", "Pt", "Si", "Si", "Ho", "Pm"], "fractional_positions": [[0.000, 0.500, 0.260], [0.500, 0.000, 0.740], [0.000, 0.500, 0.740], [0.500, 0.500, 0.500], [0.500, 0.000, 0.260], [0.500, 0.500, 0.131], [0.500, 0.500, 0.869], [0.000, 0.000, 0.000], [0.000, 0.000, 0.500]], "dos_at_fermi_per_ev_cell": 3.44, "raw_formation_energy_mev_per_atom": -1058, "total_energy_ev_per_atom": -6.6556, "m_tot_mub_per_fu": 0.00}

---

{"formula": "PmHoSnPt", "functional": "PBE", "state": "optimized geometry", "cell": [[-3.207, -1.684, -3.737], [-4.811, -1.572, 1.213], [-4.107, 2.876, -1.396]], "species": ["Sn", "Pt", "Pm", "Ho"], "fractional_positions": [[0.250, 0.250, 0.250], [0.750, 0.750, 0.750], [0.500, 0.500, 0.500], [0.000, 0.000, 0.000]], "dos_at_fermi_per_ev_cell": 1.71, "total_energy_ev_per_atom": -5.6611, "m_tot_mub_per_fu": 0.00}

---

{"formula": "Pm2HoSn3Pt4", "functional": "PBE", "state": "optimized geometry", "cell": [[-4.047, 1.933, -0.903], [-0.958, -3.377, -2.934], [-4.655, -5.876, 8.283]], "species": ["Pt", "Pt", "Pt", "Pt", "Sn", "Sn", "Sn", "Ho", "Pm", "Pm"], "fractional_positions": [[0.000, 0.500, 0.358], [0.500, 0.500, 0.000], [0.500, 0.000, 0.642], [0.000, 0.000, 0.000], [0.000, 0.000, 0.500], [0.000, 0.500, 0.126], [0.500, 0.000, 0.874], [0.500, 0.500, 0.500], [0.500, 0.000, 0.217], [0.000, 0.500, 0.783]], "dos_at_fermi_per_ev_cell": 7.48, "total_energy_ev_per_atom": -5.9285, "m_tot_mub_per_fu": 0.00}

---

{"formula": "PmHoTlPt", "functional": "PBE", "state": "optimized geometry", "cell": [[-2.083, -2.018, 4.325], [2.793, -3.241, 2.968], [1.690, 1.554, 4.674]], "species": ["Pt", "Ho", "Tl", "Pm"], "fractional_positions": [[0.750, 0.750, 0.750], [0.000, 0.000, 0.000], [0.250, 0.250, 0.250], [0.500, 0.500, 0.500]], "dos_at_fermi_per_ev_cell": 3.71, "total_energy_ev_per_atom": -5.0896, "m_tot_mub_per_fu": 0.00}

---

{"formula": "PmHoZnPt", "functional": "PBE", "state": "optimized geometry", "cell": [[-3.682, -3.442, -0.001], [1.062, -4.827, 0.991], [-1.512, -2.074, 4.338]], "species": ["Ho", "Pm", "Zn", "Pt"], "fractional_positions": [[0.000, 0.000, 0.000], [0.500, 0.500, 0.500], [0.250, 0.250, 0.250], [0.750, 0.750, 0.750]], "dos_at_fermi_per_ev_cell": 2.82, "total_energy_ev_per_atom": -4.9031, "de_polymorph_kj_per_mol_fu": 15.0, "m_tot_mub_per_fu": 0.00}

---

{"formula": "Pm2HoZn3Pt4", "functional": "PBE", "state": "optimized geometry", "cell": [[-3.680, 1.842, 0.647], [-0.054, -1.475, 3.896], [5.487, 9.651, 3.729]], "species": ["Zn", "Zn", "Zn", "Pt", "Pt", "Pt", "Pt", "Pm", "Pm", "Ho"], "fractional_positions": [[0.000, 0.000, 0.500], [0.000, 0.500, 0.126], [0.500, 0.000, 0.874], [0.000, 0.500, 0.342], [0.500, 0.000, 0.658], [0.000, 0.000, 0.000], [0.500, 0.500, 0.000], [0.000, 0.500, 0.776], [0.500, 0.000, 0.224], [0.500, 0.500, 0.500]], "dos_at_fermi_per_ev_cell": 4.49, "total_energy_ev_per_atom": -5.0437, "m_tot_mub_per_fu": 0.00}

---

{"formula": "PmHoZnPt", "functional": "PBE", "state": "optimized geometry", "cell": [[-2.367, -1.795, -2.497], [-0.652, -3.264, 2.964], [-3.049, 3.614, 3.309]], "species": ["Zn", "Pm", "Pt", "Ho"], "fractional_positions": [[0.573, 0.500, 0.147], [0.142, 0.000, 0.285], [0.424, 0.000, 0.847], [0.861, 0.500, 0.722]], "dos_at_fermi_per_ev_cell": 3.06, "total_energy_ev_per_atom": -4.9420, "de_polymorph_kj_per_mol_fu": 0.0, "m_tot_mub_per_fu": 0.00}

---

{"formula": "Pm12Ho6Pu", "functional": "PBE", "state": "optimized geometry", "cell": [[8.994, -0.613, -3.067], [-4.100, 8.029, -3.067], [-0.404, -0.613, 9.494]], "species": ["Pm", "Pm", "Pm", "Pm", "Pm", "Pm", "Pm", "Pm", "Pm", "Pm", "Pm", "Pm", "Ho", "Ho", "Ho", "Ho", "Ho", "Ho", "Pu"], "fractional_positions": [[0.628, 0.943, 0.419], [0.156, 0.740, 0.104], [0.581, 0.372, 0.057], [0.943, 0.419, 0.628], [0.419, 0.628, 0.943], [0.260, 0.896, 0.844], [0.896, 0.844, 0.260], [0.104, 0.156, 0.740], [0.057, 0.581, 0.372], [0.844, 0.260, 0.896], [0.740, 0.104, 0.156], [0.372, 0.057, 0.581], [0.470, 0.212, 0.315], [0.212, 0.315, 0.470], [0.315, 0.470, 0.212], [0.788, 0.685, 0.530], [0.530, 0.788, 0.685], [0.685, 0.530, 0.788], [0.000, 0.000, 0.000]], "dos_at_fermi_per_ev_cell": 33.66, "total_energy_ev_per_atom": -5.1650, "m_tot_mub_per_fu": 6.65}

---

{"formula": "Pm4Ho3Pu", "functional": "PBE", "state": "optimized geometry", "cell": [[-2.907, 0.391, -1.840], [6.309, 2.275, -9.483], [-1.625, -7.616, 4.205]], "species": ["Ho", "Ho", "Ho", "Pm", "Pm", "Pm", "Pm", "Pu"], "fractional_positions": [[0.766, 0.766, 0.532], [0.000, 0.500, 0.000], [0.234, 0.234, 0.468], [0.369, 0.118, 0.738], [0.369, 0.621, 0.738], [0.631, 0.882, 0.262], [0.631, 0.379, 0.262], [0.500, 0.000, 0.000]], "dos_at_fermi_per_ev_cell": 17.26, "total_energy_ev_per_atom": -5.7294, "m_tot_mub_per_fu": 6.39}

---

{"formula": "Pm4Ho7Pu", "functional": "PBE", "state": "optimized geometry", "cell": [[5.681, 0.000, 1.544], [2.114, 8.504, 3.445], [0.735, 0.771, 8.518]], "species": ["Ho", "Ho", "Ho", "Ho", "Ho", "Ho", "Ho", "Pu", "Pm", "Pm", "Pm", "Pm"], "fractional_positions": [[0.500, 0.000, 0.000], [0.709, 0.111, 0.471], [0.064, 0.283, 0.589], [0.164, 0.662, 0.010], [0.836, 0.338, 0.990], [0.291, 0.889, 0.529], [0.936, 0.717, 0.411], [0.000, 0.000, 0.000], [0.409, 0.461, 0.721], [0.268, 0.266, 0.198], [0.591, 0.539, 0.279], [0.732, 0.734, 0.802]], "dos_at_fermi_per_ev_cell": 20.61, "total_energy_ev_per_atom": -5.1989, "m_tot_mub_per_fu": 7.27}

---

{"formula": "Pm3Ho12Pu", "functional": "PBE", "state": "optimized geometry", "cell": [[-1.209, -4.440, 1.977], [-1.940, -1.427, -4.391], [17.788, -7.289, -5.492]], "species": ["Ho", "Ho", "Ho", "Ho", "Ho", "Ho", "Ho", "Ho", "Ho", "Ho", "Ho", "Ho", "Pm", "Pm", "Pm", "Pu"], "fractional_positions": [[0.500, 0.500, 0.248], [0.500, 0.000, 0.120], [0.000, 0.500, 0.880], [0.500, 0.500, 0.752], [0.000, 0.500, 0.120], [0.000, 0.500, 0.627], [0.500, 0.000, 0.373], [0.500, 0.000, 0.880], [0.500, 0.000, 0.627], [0.500, 0.500, 0.500], [0.500, 0.500, 0.000], [0.000, 0.500, 0.373], [0.000, 0.000, 0.247], [0.000, 0.000, 0.500], [0.000, 0.000, 0.753], [0.000, 0.000, 0.000]], "dos_at_fermi_per_ev_cell": 29.26, "total_energy_ev_per_atom": -5.1772, "m_tot_mub_per_fu": 6.30}

---

{"formula": "Pm9Ho4Pu", "functional": "PBE", "state": "optimized geometry", "cell": [[-7.005, -8.018, -3.452], [0.819, 3.272, -9.261], [6.210, -6.874, 3.366]], "species": ["Ho", "Ho", "Ho", "Ho", "Ho", "Ho", "Ho", "Ho", "Pm", "Pm", "Pm", "Pm", "Pm", "Pm", "Pm", "Pm", "Pm", "Pm", "Pm", "Pm", "Pm", "Pm", "Pm", "Pm", "Pm", "Pm", "Pu", "Pu"], "fractional_positions": [[0.250, 0.111, 0.889], [0.750, 0.889, 0.778], [0.750, 0.889, 0.111], [0.250, 0.778, 0.889], [0.000, 0.000, 0.000], [0.500, 0.000, 0.000], [0.750, 0.222, 0.111], [0.250, 0.111, 0.222], [0.965, 0.209, 0.418], [0.750, 0.536, 0.464], [0.965, 0.582, 0.791], [0.535, 0.209, 0.418], [0.750, 0.536, 0.072], [0.535, 0.582, 0.791], [0.250, 0.464, 0.536], [0.250, 0.072, 0.536], [0.035, 0.791, 0.209], [0.965, 0.209, 0.791], [0.535, 0.209, 0.791], [0.035, 0.791, 0.582], [0.750, 0.928, 0.464], [0.250, 0.464, 0.928], [0.465, 0.791, 0.582], [0.465, 0.418, 0.209], [0.465, 0.791, 0.209], [0.035, 0.418, 0.209], [0.750, 0.333, 0.667], [0.250, 0.667, 0.333]], "dos_at_fermi_per_ev_cell": 48.12, "total_energy_ev_per_atom": -5.2238, "m_tot_mub_per_fu": 5.63}

---

{"formula": "Pm3Ho4Pu", "functional": "PBE", "state": "optimized geometry", "cell": [[-1.275, 3.160, -0.405], [-5.828, -1.073, 9.980], [8.577, 1.394, -1.589]], "species": ["Ho", "Ho", "Ho", "Ho", "Pm", "Pm", "Pm", "Pu"], "fractional_positions": [[0.632, 0.380, 0.265], [0.368, 0.115, 0.735], [0.368, 0.620, 0.735], [0.632, 0.885, 0.265], [0.236, 0.236, 0.471], [0.764, 0.764, 0.529], [0.000, 0.500, 0.000], [0.500, 0.000, 0.000]], "dos_at_fermi_per_ev_cell": 15.92, "total_energy_ev_per_atom": -5.7095, "m_tot_mub_per_fu": 6.35}